Density functional theory data (GGA-PBE) for an optimized crystal structure of V3Co.

**E_form**: 0.2548 eV per atom
**DOS(E_F)**: 6.35 states/eV/cell
**Crystal system**: orthorhombic
**Total moment**: 0.13 μB per cell
**Final energy**: -8.361 eV per atom

Cell: 2.601 2.458 8.237 Å, 90.00 90.00 90.00°
Fractional coordinates of all 4 atoms:
Co  0.000  0.000  0.966
V  0.000  0.500  0.467
V  0.500  0.500  0.179
V  0.500  0.000  0.722